(1)
Compound: La5DyY6
Source: Alexandria via LeMat-Bulk
Functional: PBE
Structure: relaxed

The space group is No. 12. The magnetization comes out at 0.00 μB/cell. The calculated density comes out at 5675 kg/m³.

Cell lengths 6.323, 6.322, 11.941 Å; angles 84.94, 79.85, 60.00 degrees
Fractional positions:
1 Dy 0.000 0.000 0.000
2 La 0.334 0.333 0.000
3 La 0.500 0.000 0.500
4 La 0.833 0.333 0.500
5 La 0.666 0.667 0.000
6 La 0.167 0.667 0.500
7 Y 0.249 0.000 0.249
8 Y 0.917 0.668 0.249
9 Y 0.083 0.332 0.751
10 Y 0.585 0.332 0.249
11 Y 0.415 0.668 0.751
12 Y 0.751 0.000 0.751

(2)
Compound: La2Dy3Y
Source: Alexandria via LeMat-Bulk
Functional: PBE
Structure: relaxed

The space group is No. 15. The magnetization comes out at 0.00 μB/cell. The calculated density comes out at 7006 kg/m³.

Cell lengths 6.750, 10.222, 10.222 Å; angles 68.95, 49.47, 49.47 degrees
Fractional positions:
1 La 0.404 0.412 0.928
2 La 0.904 0.928 0.412
3 La 0.096 0.072 0.588
4 La 0.596 0.588 0.072
5 Y 0.000 0.000 0.000
6 Y 0.500 0.000 0.000
7 Dy 0.833 0.333 0.336
8 Dy 0.333 0.336 0.333
9 Dy 0.250 0.268 0.732
10 Dy 0.667 0.664 0.667
11 Dy 0.750 0.732 0.268
12 Dy 0.167 0.667 0.664

(3)
Compound: La2Dy3Y4
Source: Alexandria via LeMat-Bulk
Functional: PBE
Structure: relaxed

The space group is No. 12. The magnetization comes out at 0.00 μB/cell. The calculated density comes out at 6246 kg/m³.

Cell lengths 5.101, 8.051, 8.062 Å; angles 107.45, 108.44, 90.00 degrees
Fractional positions:
1 Dy 0.890 0.335 0.780
2 Dy 0.110 0.665 0.220
3 Dy 0.000 0.000 0.000
4 La 0.335 0.001 0.669
5 La 0.665 0.999 0.331
6 Y 0.222 0.337 0.445
7 Y 0.444 0.662 0.888
8 Y 0.556 0.338 0.112
9 Y 0.778 0.663 0.555

(4)
Compound: La2Dy3Y2
Source: Alexandria via LeMat-Bulk
Functional: PBE
Structure: relaxed

The space group is No. 12. The magnetization comes out at 0.00 μB/cell. The calculated density comes out at 6605 kg/m³.

Cell lengths 3.536, 8.621, 9.070 Å; angles 118.42, 101.24, 90.00 degrees
Fractional positions:
1 Dy 0.212 0.798 0.424
2 Dy 0.788 0.202 0.576
3 Dy 0.000 0.500 0.000
4 Y 0.152 0.340 0.304
5 Y 0.848 0.660 0.696
6 La 0.567 0.914 0.134
7 La 0.433 0.086 0.866

no.,formation energy (kJ per mole of atoms)
1,0.94
2,17.92
3,2.86
4,12.20